Record 1
The following is a DFT calculation (PBE) of a relaxed structure of ReAgPt2.

Results
Fermi-level density of states   1.190 states/eV per atom
Formation energy   0.05 kcal/mol of atoms
Theoretical density   17.94 Mg/m³
Polymorph energy (0 for the lowest one)   0.0941 eV/atom

Unit cell a=2.8099 b=2.8099 c=27.7831 alpha=90.00 beta=90.00 gamma=120.00
With the nearest neighbours (Å) after each atom.
Atoms (fractional coordinates):
Re (0.0000, 0.0000, 0.0000)  6 Pt 2.73, 6 Re 2.81
Re (0.3333, 0.6667, 0.6667)  6 Pt 2.73, 6 Re 2.81
Re (0.6667, 0.3333, 0.3333)  6 Pt 2.73, 6 Re 2.81
Ag (0.0000, 0.0000, 0.5000)  6 Ag 2.81, 6 Pt 2.92
Ag (0.3333, 0.6667, 0.1667)  6 Ag 2.81, 6 Pt 2.92
Ag (0.6667, 0.3333, 0.8333)  6 Ag 2.81, 6 Pt 2.92
Pt (0.0000, 0.0000, 0.2543)  3 Re 2.73, 6 Pt 2.81, 3 Ag 2.92
Pt (0.0000, 0.0000, 0.7457)  3 Re 2.73, 6 Pt 2.81, 3 Ag 2.92
Pt (0.3333, 0.6667, 0.4124)  3 Re 2.73, 6 Pt 2.81, 3 Ag 2.92
Pt (0.3333, 0.6667, 0.9209)  3 Re 2.73, 6 Pt 2.81, 3 Ag 2.92
Pt (0.6667, 0.3333, 0.0791)  3 Re 2.73, 6 Pt 2.81, 3 Ag 2.92
Pt (0.6667, 0.3333, 0.5876)  3 Re 2.73, 6 Pt 2.81, 3 Ag 2.92

Record 2
The following is a DFT calculation (PBE) of a relaxed structure of ReAgPt3.

Results
Fermi-level density of states   0.874 states/eV per atom
Formation energy   26.49 kcal/mol of atoms
Theoretical density   12.93 Mg/m³
Polymorph energy (0 for the lowest one)   0.0000 eV/atom

Unit cell a=4.8339 b=4.8339 c=4.8339 alpha=90.00 beta=90.00 gamma=90.00
With the nearest neighbours (Å) after each atom.
Atoms (fractional coordinates):
Re (0.0000, 0.0000, 0.0000)  6 Pt 2.42
Ag (0.5000, 0.5000, 0.5000)  12 Pt 3.42
Pt (0.0000, 0.0000, 0.5000)  2 Re 2.42
Pt (0.0000, 0.5000, 0.0000)  2 Re 2.42
Pt (0.5000, 0.0000, 0.0000)  2 Re 2.42

Record 3
The following is a DFT calculation (PBE) of a relaxed structure of Re2AgPt.

Results
Fermi-level density of states   1.213 states/eV per atom
Formation energy   12.87 kcal/mol of atoms
Theoretical density   17.77 Mg/m³
Polymorph energy (0 for the lowest one)   0.4613 eV/atom

Unit cell a=6.3206 b=6.3206 c=6.3206 alpha=90.00 beta=90.00 gamma=90.00
With the nearest neighbours (Å) after each atom.
Atoms (fractional coordinates):
Re (0.0000, 0.0000, 0.0000)  4 Re 2.74, 4 Pt 2.74
Re (0.0000, 0.5000, 0.5000)  4 Pt 2.74, 4 Re 2.74
Re (0.2500, 0.2500, 0.2500)  4 Re 2.74, 4 Ag 2.74
Re (0.2500, 0.7500, 0.7500)  4 Re 2.74, 4 Ag 2.74
Re (0.5000, 0.0000, 0.5000)  4 Pt 2.74, 4 Re 2.74
Re (0.5000, 0.5000, 0.0000)  4 Re 2.74, 4 Pt 2.74
Re (0.7500, 0.2500, 0.7500)  4 Re 2.74, 4 Ag 2.74
Re (0.7500, 0.7500, 0.2500)  4 Re 2.74, 4 Ag 2.74
Ag (0.0000, 0.0000, 0.5000)  4 Re 2.74, 4 Pt 2.74
Ag (0.0000, 0.5000, 0.0000)  4 Re 2.74, 4 Pt 2.74
Ag (0.5000, 0.0000, 0.0000)  4 Re 2.74, 4 Pt 2.74
Ag (0.5000, 0.5000, 0.5000)  4 Re 2.74, 4 Pt 2.74
Pt (0.2500, 0.2500, 0.7500)  4 Re 2.74, 4 Ag 2.74
Pt (0.2500, 0.7500, 0.2500)  4 Re 2.74, 4 Ag 2.74
Pt (0.7500, 0.2500, 0.2500)  4 Re 2.74, 4 Ag 2.74
Pt (0.7500, 0.7500, 0.7500)  4 Re 2.74, 4 Ag 2.74

Record 4
The following is a DFT calculation (PBE) of a relaxed structure of ReAgPt6.

Results
Fermi-level density of states   1.219 states/eV per atom
Formation energy   -0.94 kcal/mol of atoms
Theoretical density   19.38 Mg/m³

Unit cell a=3.9840 b=3.9840 c=7.9048 alpha=90.00 beta=90.00 gamma=90.00
With the nearest neighbours (Å) after each atom.
Atoms (fractional coordinates):
Re (0.0000, 0.0000, 0.0000)  12 Pt 2.75-2.82
Ag (0.0000, 0.0000, 0.5000)  12 Pt 2.82-2.87
Pt (0.0000, 0.5000, 0.2394)  2 Re 2.75, 8 Pt 2.75-2.87, 2 Ag 2.87
Pt (0.0000, 0.5000, 0.7606)  2 Re 2.75, 8 Pt 2.75-2.87, 2 Ag 2.87
Pt (0.5000, 0.0000, 0.2394)  2 Re 2.75, 8 Pt 2.75-2.87, 2 Ag 2.87
Pt (0.5000, 0.0000, 0.7606)  2 Re 2.75, 8 Pt 2.75-2.87, 2 Ag 2.87
Pt (0.5000, 0.5000, 0.0000)  8 Pt 2.75, 4 Re 2.82
Pt (0.5000, 0.5000, 0.5000)  4 Ag 2.82, 8 Pt 2.87

Record 5
The following is a DFT calculation (PBE) of a relaxed structure of Re4AgPt.

Results
Fermi-level density of states   1.108 states/eV per atom
Formation energy   14.69 kcal/mol of atoms
Theoretical density   17.57 Mg/m³

Unit cell a=5.1934 b=5.1934 c=5.1934 alpha=60.00 beta=60.00 gamma=60.00
With the nearest neighbours (Å) after each atom.
Atoms (fractional coordinates):
Re (0.1248, 0.1248, 0.1248)  6 Re 2.59-2.60
Re (0.1248, 0.1248, 0.6258)  6 Re 2.59-2.60
Re (0.1248, 0.6258, 0.1248)  6 Re 2.59-2.60
Re (0.6258, 0.1248, 0.1248)  6 Re 2.59-2.60
Ag (0.5000, 0.5000, 0.5000)  12 Re 3.05, 4 Pt 3.18
Pt (0.7500, 0.7500, 0.7500)  12 Re 3.04, 4 Ag 3.18

Record 6
The following is a DFT calculation (PBE) of a relaxed structure of TiReAg2Pt.

Results
Fermi-level density of states   1.420 states/eV per atom
Formation energy   33.85 kcal/mol of atoms
Theoretical density   9.23 Mg/m³

Unit cell a=4.9383 b=4.9383 c=4.7556 alpha=90.00 beta=90.00 gamma=90.00
With the nearest neighbours (Å) after each atom.
Atoms (fractional coordinates):
Ti (0.0000, 0.0000, 0.0000)  8 Ag 3.43, 4 Re 3.49
Re (0.5000, 0.5000, 0.0000)  2 Pt 2.38
Ag (0.0000, 0.5000, 0.5000)  2 Pt 2.47
Ag (0.5000, 0.0000, 0.5000)  2 Pt 2.47
Pt (0.5000, 0.5000, 0.5000)  2 Re 2.38, 4 Ag 2.47

Record 7
The following is a DFT calculation (PBE) of a relaxed structure of Zr2ReAgPt.

Results
Fermi-level density of states   1.102 states/eV per atom
Formation energy   19.65 kcal/mol of atoms
Theoretical density   9.07 Mg/m³

Unit cell a=5.0818 b=5.0818 c=4.7635 alpha=90.00 beta=90.00 gamma=90.00
With the nearest neighbours (Å) after each atom.
Atoms (fractional coordinates):
Zr (0.0000, 0.5000, 0.0000)  2 Pt 2.54
Zr (0.5000, 0.0000, 0.0000)  2 Pt 2.54
Re (0.0000, 0.0000, 0.5000)  2 Pt 2.38
Ag (0.5000, 0.5000, 0.5000)  8 Zr 3.48, 4 Re 3.59
Pt (0.0000, 0.0000, 0.0000)  2 Re 2.38, 4 Zr 2.54

Record 8
The following is a DFT calculation (PBE) of a relaxed structure of Ag2PtRh.

Results
Fermi-level density of states   1.078 states/eV per atom
Formation energy   1.90 kcal/mol of atoms
Theoretical density   13.07 Mg/m³
Polymorph energy (0 for the lowest one)   0.0000 eV/atom

Unit cell a=2.8106 b=2.8106 c=8.2594 alpha=90.00 beta=90.00 gamma=90.00
With the nearest neighbours (Å) after each atom.
Atoms (fractional coordinates):
Ag (0.0000, 0.0000, 0.0000)  8 Ag 2.81-2.95, 4 Rh 2.88
Ag (0.5000, 0.5000, 0.2646)  8 Ag 2.81-2.95, 4 Pt 2.91
Pt (0.0000, 0.0000, 0.5225)  4 Rh 2.72, 4 Pt 2.81, 4 Ag 2.91
Rh (0.5000, 0.5000, 0.7476)  4 Pt 2.72, 4 Rh 2.81, 4 Ag 2.88

Record 9
The following is a DFT calculation (PBE) of a relaxed structure of AgPt2Rh.

Results
Fermi-level density of states   1.428 states/eV per atom
Formation energy   2.10 kcal/mol of atoms
Theoretical density   15.90 Mg/m³
Polymorph energy (0 for the lowest one)   0.1011 eV/atom

Unit cell a=3.9679 b=3.9679 c=7.9699 alpha=90.00 beta=90.00 gamma=90.00
With the nearest neighbours (Å) after each atom.
Atoms (fractional coordinates):
Ag (0.0000, 0.0000, 0.0000)  4 Rh 2.81, 8 Pt 2.81
Ag (0.5000, 0.5000, 0.5000)  4 Rh 2.81, 8 Pt 2.81
Pt (0.0000, 0.5000, 0.2500)  4 Pt 2.81, 4 Rh 2.81, 4 Ag 2.81
Pt (0.0000, 0.5000, 0.7500)  4 Pt 2.81, 4 Rh 2.81, 4 Ag 2.81
Pt (0.5000, 0.0000, 0.2500)  4 Pt 2.81, 4 Rh 2.81, 4 Ag 2.81
Pt (0.5000, 0.0000, 0.7500)  4 Pt 2.81, 4 Rh 2.81, 4 Ag 2.81
Rh (0.0000, 0.0000, 0.5000)  4 Ag 2.81, 8 Pt 2.81
Rh (0.5000, 0.5000, 0.0000)  4 Ag 2.81, 8 Pt 2.81

Record 10
The following is a DFT calculation (PBE) of a relaxed structure of AgPtRh2.

Results
Fermi-level density of states   1.721 states/eV per atom
Formation energy   3.11 kcal/mol of atoms
Theoretical density   13.73 Mg/m³
Polymorph energy (0 for the lowest one)   0.0696 eV/atom

Unit cell a=2.7840 b=2.7840 c=27.4937 alpha=90.00 beta=90.00 gamma=120.00
With the nearest neighbours (Å) after each atom.
Atoms (fractional coordinates):
Ag (0.0000, 0.0000, 0.0000)  6 Ag 2.78, 6 Rh 2.86
Ag (0.3333, 0.6667, 0.6667)  6 Ag 2.78, 6 Rh 2.86
Ag (0.6667, 0.3333, 0.3333)  6 Ag 2.78, 6 Rh 2.86
Pt (0.0000, 0.0000, 0.5000)  6 Rh 2.74, 6 Pt 2.78
Pt (0.3333, 0.6667, 0.1667)  6 Rh 2.74, 6 Pt 2.78
Pt (0.6667, 0.3333, 0.8333)  6 Rh 2.74, 6 Pt 2.78
Rh (0.0000, 0.0000, 0.2472)  3 Pt 2.74, 6 Rh 2.78, 3 Ag 2.86
Rh (0.0000, 0.0000, 0.7528)  3 Pt 2.74, 6 Rh 2.78, 3 Ag 2.86
Rh (0.3333, 0.6667, 0.4195)  3 Pt 2.74, 6 Rh 2.78, 3 Ag 2.86
Rh (0.3333, 0.6667, 0.9139)  3 Pt 2.74, 6 Rh 2.78, 3 Ag 2.86
Rh (0.6667, 0.3333, 0.0861)  3 Pt 2.74, 6 Rh 2.78, 3 Ag 2.86
Rh (0.6667, 0.3333, 0.5805)  3 Pt 2.74, 6 Rh 2.78, 3 Ag 2.86

Record 11
The following is a DFT calculation (PBE) of a relaxed structure of AgPtRh2.

Results
Fermi-level density of states   1.743 states/eV per atom
Formation energy   4.09 kcal/mol of atoms
Theoretical density   13.77 Mg/m³
Polymorph energy (0 for the lowest one)   0.1122 eV/atom

Unit cell a=3.9366 b=3.9366 c=3.9599 alpha=90.00 beta=90.00 gamma=90.00
With the nearest neighbours (Å) after each atom.
Atoms (fractional coordinates):
Ag (0.0000, 0.0000, 0.0000)  4 Pt 2.78, 8 Rh 2.79
Pt (0.5000, 0.5000, 0.0000)  4 Ag 2.78, 8 Rh 2.79
Rh (0.0000, 0.5000, 0.5000)  4 Rh 2.78, 4 Pt 2.79, 4 Ag 2.79
Rh (0.5000, 0.0000, 0.5000)  4 Rh 2.78, 4 Pt 2.79, 4 Ag 2.79

Record 12
The following is a DFT calculation (PBE) of a relaxed structure of AgPt2Rh2.

Results
Fermi-level density of states   1.638 states/eV per atom
Formation energy   4.28 kcal/mol of atoms
Theoretical density   14.22 Mg/m³
Polymorph energy (0 for the lowest one)   0.0188 eV/atom

Unit cell a=7.7242 b=7.7242 c=2.7543 alpha=90.00 beta=90.00 gamma=90.00
With the nearest neighbours (Å) after each atom.
Atoms (fractional coordinates):
Ag (0.0000, 0.0000, 0.0000)  2 Ag 2.75, 4 Pt 3.06
Ag (0.5000, 0.5000, 0.0000)  2 Ag 2.75, 4 Pt 3.06
Pt (0.1237, 0.3763, 0.0000)  6 Rh 2.59-2.72, 3 Pt 2.70-2.75
Pt (0.3763, 0.8763, 0.0000)  6 Rh 2.59-2.72, 3 Pt 2.70-2.75
Pt (0.6237, 0.1237, 0.0000)  6 Rh 2.59-2.72, 3 Pt 2.70-2.75
Pt (0.8763, 0.6237, 0.0000)  6 Rh 2.59-2.72, 3 Pt 2.70-2.75
Rh (0.1750, 0.6750, 0.5000)  6 Pt 2.59-2.72, 2 Rh 2.75
Rh (0.3250, 0.1750, 0.5000)  6 Pt 2.59-2.72, 2 Rh 2.75
Rh (0.6750, 0.8250, 0.5000)  6 Pt 2.59-2.72, 2 Rh 2.75
Rh (0.8250, 0.3250, 0.5000)  6 Pt 2.59-2.72, 2 Rh 2.75